# 1
A plane-wave DFT calculation with PBE-GGA was carried out for a relaxed Na3MnI crystal.

The structure in extended XYZ format:
```
5
Lattice="5.9604 0.0000 0.0000 0.0000 5.9604 0.0000 0.0000 0.0000 5.9604" Properties=species:S:1:pos:R:3 pbc="T T T"
I 0.0000 0.0000 0.0000
Na 0.0000 2.9802 0.0000
Na 0.0000 0.0000 2.9802
Na 2.9802 0.0000 0.0000
Mn 2.9802 2.9802 2.9802
```

Calculated values
ΔE_f (raw): 0.2772 eV per atom
excess energy over the best structure of this formula in the dataset: 0 kJ/mol of formula units


# 2
A plane-wave DFT calculation with PBE-GGA was carried out for a relaxed Ba2SrSe crystal.

The structure in extended XYZ format:
```
4
Lattice="6.2118 0.0000 0.0000 3.1059 5.3796 0.0000 3.1059 1.7932 5.0719" Properties=species:S:1:pos:R:3 pbc="T T T"
Ba 0.0000 0.0000 0.0000
Ba 3.1059 1.7932 1.2680
Se 6.2118 3.5864 2.5360
Sr 9.3177 5.3796 3.8039
```

Calculated values
ΔE_f (raw): -0.2369 eV per atom
excess energy over the best structure of this formula in the dataset: 266 kJ/mol of formula units


# 3
A plane-wave DFT calculation with PBE-GGA was carried out for a relaxed LiPuHf2P4 crystal.

The structure in extended XYZ format:
```
8
Lattice="-2.4780 0.8164 -2.7123 2.2453 -4.8698 -3.5171 -5.0035 -2.3150 3.8744" Properties=species:S:1:pos:R:3 pbc="T T T"
Li -0.1164 -2.0267 -3.1147
Pu 0.0000 0.0000 0.0000
Hf -3.7407 -0.7493 0.5810
Hf -1.3791 -3.5924 0.1786
P -1.9733 -1.4614 -1.2480
P -3.2629 -4.9070 -1.1071
P -3.1311 -2.9086 1.9851
P 0.3729 -4.2762 -1.6279
```

Calculated values
formation energy: -1.062 eV per atom


# 4
A plane-wave DFT calculation with PBE-GGA was carried out for a relaxed Y4NpSb5 crystal.

The structure in extended XYZ format:
```
10
Lattice="4.3120 0.0000 -0.8319 -0.3201 5.9771 -1.6592 0.0079 0.0020 11.6324" Properties=species:S:1:pos:R:3 pbc="T T T"
Y 1.5999 2.3877 8.2928
Y 3.1935 4.7758 4.9619
Y 0.8063 1.2033 4.1794
Y 2.4000 3.5914 0.8485
Np 0.0000 0.0000 0.0000
Sb 2.5568 0.5981 1.6613
Sb 3.3579 1.7937 5.8138
Sb 0.6420 4.1854 3.3275
Sb -0.1600 2.9885 -0.8296
Sb 1.4431 5.3810 7.4800
```

Calculated values
ΔE_f (raw): -0.9664 eV per atom


# 5
A plane-wave DFT calculation with PBE-GGA was carried out for a relaxed LaY crystal.

The structure in extended XYZ format:
```
4
Lattice="-5.7706 -2.6690 -0.0305 3.5511 0.0032 6.0118 -1.3472 2.8904 1.9593" Properties=species:S:1:pos:R:3 pbc="T T T"
Y -3.5228 0.1041 0.9989
Y -2.6371 0.6190 4.4231
La -2.1778 -2.6398 5.9716
La 0.9162 0.4758 3.5029
```

Calculated values
excess energy over the best structure of this formula in the dataset: 4 kJ/mol of formula units
formation energy: 0.025 eV per atom


# 6
A plane-wave DFT calculation with PBE-GGA was carried out for a relaxed BeTc2Se crystal.

The structure in extended XYZ format:
```
4
Lattice="-2.1029 -2.8137 -3.1377 1.2709 -4.4956 0.5990 -1.6131 3.3041 2.9436" Properties=species:S:1:pos:R:3 pbc="T T T"
Be -0.4160 -3.6546 -1.2693
Tc 0.0000 0.0000 0.0000
Tc -0.3791 -2.4231 1.1366
Se -2.0660 -1.5821 -0.7317
```

Calculated values
ΔE_f (raw): 0.3790 eV per atom
excess energy over the best structure of this formula in the dataset: 159 kJ/mol of formula units


# 7
A plane-wave DFT calculation with PBE-GGA was carried out for a relaxed Ba2YTc crystal.

The structure in extended XYZ format:
```
8
Lattice="-6.8946 -3.1936 9.2639 8.1882 -8.0998 3.3017 1.8023 -3.8797 7.7519" Properties=species:S:1:pos:R:3 pbc="T T T"
Y 0.6468 -5.6467 6.2828
Y 5.3187 -8.8131 8.6682
Ba -3.9772 -4.5075 9.6753
Ba -1.0460 -9.0961 12.8887
Ba 0.4804 -5.8030 9.9791
Ba -4.3480 -6.0336 14.0541
Tc 0.0000 0.0000 0.0000
Tc -2.2227 -6.3600 11.6493
```

Calculated values
excess energy over the best structure of this formula in the dataset: 106 kJ/mol of formula units
formation energy: 0.665 eV per atom


# 8
A plane-wave DFT calculation with PBE-GGA was carried out for a relaxed Tm2Cu3Pd crystal.

The structure in extended XYZ format:
```
6
Lattice="3.4646 0.0000 0.0000 0.0000 4.3032 0.0000 0.0000 0.0000 7.3782" Properties=species:S:1:pos:R:3 pbc="T T T"
Tm 0.0000 2.1516 0.0221
Tm 0.0000 0.0000 3.6743
Cu 1.7323 0.0000 6.1163
Cu 1.7323 0.0000 1.1415
Cu 1.7323 2.1516 5.0121
Pd 1.7323 2.1516 2.4790
```

Calculated values
formation energy: -0.432 eV per atom


# 9
A plane-wave DFT calculation with PBE-GGA was carried out for a relaxed PmSmYHo crystal.

The structure in extended XYZ format:
```
4
Lattice="5.7265 0.0000 0.0000 2.8633 4.9593 0.0000 2.8633 1.6531 4.6757" Properties=species:S:1:pos:R:3 pbc="T T T"
Y 8.5898 4.9593 3.5068
Ho 2.8633 1.6531 1.1689
Sm 0.0000 0.0000 0.0000
Pm 5.7265 3.3062 2.3378
```

Calculated values
excess energy over the best structure of this formula in the dataset: 0 kJ/mol of formula units
formation energy: 0.119 eV per atom


# 10
A plane-wave DFT calculation with PBE-GGA was carried out for a relaxed AcCe3Rh3 crystal.

The structure in extended XYZ format:
```
14
Lattice="-5.0456 3.8573 4.0268 -5.4577 -4.5297 -2.4994 1.1435 -4.5994 5.8386" Properties=species:S:1:pos:R:3 pbc="T T T"
Ac -4.6798 -2.6359 3.6830
Ac 0.0000 0.0000 0.0000
Rh -0.6896 -1.3354 3.9260
Rh -2.4430 -3.4147 0.2099
Rh -6.6160 -1.4686 0.1389
Rh -3.2124 0.5932 5.9394
Rh -1.8712 -5.7144 3.1292
Rh -3.8872 0.7962 1.3886
Ce -0.7927 -3.4321 2.2944
Ce -3.5215 -5.6970 1.0447
Ce -1.6651 -1.5209 6.3924
Ce -6.5130 0.6281 1.7704
Ce -2.2369 0.7788 3.4731
Ce -3.9902 -1.3005 -0.2430
```

Calculated values
formation energy: -0.186 eV per atom


# 11
A plane-wave DFT calculation with PBE-GGA was carried out for a relaxed SnSbRhI2 crystal.

The structure in extended XYZ format:
```
5
Lattice="-4.8599 -2.5637 -0.3110 1.0595 -2.5837 4.7424 -2.1762 3.8142 2.5642" Properties=species:S:1:pos:R:3 pbc="T T T"
I 0.5298 -1.2918 2.3712
I -2.4300 -1.2819 -0.1555
Sb -1.0881 1.9071 1.2821
Rh 0.0000 0.0000 0.0000
Sn -2.9883 -0.6666 3.4978
```

Calculated values
ΔE_f (raw): 0.2288 eV per atom
excess energy over the best structure of this formula in the dataset: 0 kJ/mol of formula units


# 12
A plane-wave DFT calculation with PBE-GGA was carried out for a relaxed Pr12Y5Ho2 crystal.

The structure in extended XYZ format:
```
19
Lattice="7.6106 0.0000 0.0000 -3.8053 8.8118 4.1246 0.0000 0.3948 10.1028" Properties=species:S:1:pos:R:3 pbc="T T T"
Pr 3.8053 8.8602 6.2041
Pr -1.9104 6.3101 11.3582
Pr 1.9104 6.3101 11.3582
Pr -1.9942 6.1044 7.7758
Pr 1.9942 6.1044 7.7758
Pr 3.8053 0.4168 6.8385
Pr 0.0000 8.7898 7.3889
Pr 5.7995 3.1022 6.4515
Pr 1.8111 3.1022 6.4515
Pr 5.7157 2.8965 2.8692
Pr 1.8949 2.8965 2.8692
Pr 0.0000 0.3464 8.0233
Y 0.0000 3.3999 9.8117
Y 0.0000 5.7404 4.5986
Y 0.0000 0.1974 5.0514
Y 3.8053 3.4661 9.6288
Y 3.8053 5.8067 4.4157
Ho 5.3279 0.0000 0.0000
Ho 2.2827 0.0000 0.0000
```

Calculated values
excess energy over the best structure of this formula in the dataset: 48 kJ/mol of formula units
formation energy: 0.157 eV per atom


Values of calculated total energy, in order: -2.658, -2.490, -8.286, -6.907, -5.671, -6.607, -4.504, -4.837, -5.009, -6.466, -3.487, -5.045, all in eV/atom.